Entry 1:
{"formula": "CeDyRu", "functional": "PBE", "state": "optimized geometry", "magnetic_moment_mub_per_cell": 0.74, "formation_enthalpy_0k_ev_per_atom": -0.24, "relative_energy_ev_per_atom": 0.020, "crystal_system": "tetragonal", "cell": [[3.380, 0.000, 0.000], [0.000, 3.380, 0.000], [-1.690, -1.690, 6.577]], "species": ["Ru", "Ce", "Dy"], "frac_coords": [[0.665, 0.665, 0.331], [0.038, 0.038, 0.076], [0.297, 0.297, 0.593]]}



Entry 2:
{"formula": "CeDy3Ru2", "functional": "PBE", "state": "optimized geometry", "magnetic_moment_mub_per_cell": 0.00, "formation_enthalpy_0k_ev_per_atom": -0.34, "relative_energy_ev_per_atom": 0.007, "crystal_system": "orthorhombic", "cell": [[-0.388, 2.114, 5.861], [-5.128, -4.354, 1.231], [4.817, -4.455, 1.926]], "species": ["Ce", "Ce", "Dy", "Dy", "Dy", "Dy", "Dy", "Dy", "Ru", "Ru", "Ru", "Ru"], "frac_coords": [[0.250, 0.568, 0.432], [0.750, 0.432, 0.568], [0.250, 0.937, 0.063], [0.750, 0.063, 0.937], [0.250, 0.066, 0.574], [0.750, 0.934, 0.426], [0.250, 0.426, 0.934], [0.750, 0.574, 0.066], [0.000, 0.273, 0.273], [0.500, 0.727, 0.727], [0.000, 0.727, 0.727], [0.500, 0.273, 0.273]]}



Entry 3:
{"formula": "Ce2DyRu", "functional": "PBE", "state": "optimized geometry", "magnetic_moment_mub_per_cell": 0.01, "formation_enthalpy_0k_ev_per_atom": -0.23, "relative_energy_ev_per_atom": 0.003, "crystal_system": "orthorhombic", "cell": [[-3.352, 1.461, 0.728], [0.071, -5.630, 2.093], [3.217, 3.177, 8.437]], "species": ["Ce", "Ce", "Ce", "Ce", "Dy", "Dy", "Ru", "Ru"], "frac_coords": [[0.360, 0.721, 0.560], [0.640, 0.279, 0.440], [0.360, 0.721, 0.940], [0.640, 0.279, 0.060], [0.920, 0.840, 0.250], [0.080, 0.160, 0.750], [0.796, 0.590, 0.750], [0.204, 0.410, 0.250]]}



Entry 4:
{"formula": "Ce2Dy2Ru3", "functional": "PBE", "state": "optimized geometry", "magnetic_moment_mub_per_cell": 0.00, "formation_enthalpy_0k_ev_per_atom": -0.35, "relative_energy_ev_per_atom": 0.000, "crystal_system": "monoclinic", "cell": [[4.504, 0.231, -1.141], [-2.276, 4.056, -0.212], [0.157, -0.346, 8.490]], "species": ["Ce", "Ce", "Dy", "Dy", "Ru", "Ru", "Ru"], "frac_coords": [[0.757, 0.380, 0.137], [0.243, 0.620, 0.863], [0.251, 0.129, 0.381], [0.749, 0.871, 0.619], [0.000, 0.000, 0.000], [0.493, 0.274, 0.765], [0.507, 0.726, 0.235]]}



Entry 5:
{"formula": "Ce3DyRu3", "functional": "PBE", "state": "optimized geometry", "magnetic_moment_mub_per_cell": 0.65, "formation_enthalpy_0k_ev_per_atom": -0.28, "crystal_system": "monoclinic", "cell": [[6.809, 0.672, 0.346], [-2.432, 6.396, 0.346], [-0.301, -0.486, 7.288]], "species": ["Ce", "Ce", "Ce", "Ce", "Ce", "Ce", "Dy", "Dy", "Ru", "Ru", "Ru", "Ru", "Ru", "Ru"], "frac_coords": [[0.629, 0.629, 0.359], [0.183, 0.817, 0.500], [0.817, 0.183, 0.500], [0.256, 0.744, 0.000], [0.744, 0.256, 0.000], [0.371, 0.371, 0.641], [0.769, 0.769, 0.868], [0.231, 0.231, 0.132], [0.896, 0.896, 0.225], [0.934, 0.447, 0.737], [0.447, 0.934, 0.737], [0.066, 0.553, 0.263], [0.553, 0.066, 0.263], [0.104, 0.104, 0.775]]}



Entry 6:
{"formula": "CeDyRu", "functional": "PBE", "state": "optimized geometry", "magnetic_moment_mub_per_cell": 1.88, "formation_enthalpy_0k_ev_per_atom": -0.26, "relative_energy_ev_per_atom": 0.000, "crystal_system": "monoclinic", "cell": [[-5.333, -0.357, 3.606], [-0.082, -6.850, -0.801], [4.234, -1.123, 6.151]], "species": ["Ce", "Ce", "Ce", "Ce", "Dy", "Dy", "Dy", "Dy", "Ru", "Ru", "Ru", "Ru"], "frac_coords": [[0.732, 0.917, 0.615], [0.768, 0.917, 0.115], [0.268, 0.083, 0.385], [0.232, 0.083, 0.885], [0.248, 0.574, 0.108], [0.252, 0.574, 0.608], [0.752, 0.426, 0.892], [0.748, 0.426, 0.392], [0.489, 0.227, 0.657], [0.989, 0.773, 0.843], [0.511, 0.773, 0.343], [0.011, 0.227, 0.157]]}



Entry 7:
{"formula": "Ce2Dy2Ru3", "functional": "PBE", "state": "optimized geometry", "magnetic_moment_mub_per_cell": 0.00, "formation_enthalpy_0k_ev_per_atom": -0.34, "relative_energy_ev_per_atom": 0.008, "crystal_system": "monoclinic", "cell": [[-1.515, -0.009, -4.435], [3.818, -4.385, 1.181], [-5.976, -2.850, 2.049]], "species": ["Ce", "Ce", "Dy", "Dy", "Ru", "Ru", "Ru"], "frac_coords": [[0.871, 0.742, 0.630], [0.129, 0.258, 0.370], [0.634, 0.269, 0.914], [0.366, 0.731, 0.086], [0.000, 0.000, 0.000], [0.823, 0.646, 0.294], [0.177, 0.354, 0.706]]}



Entry 8:
{"formula": "CeDy5Ru6", "functional": "PBE", "state": "optimized geometry", "magnetic_moment_mub_per_cell": 0.00, "formation_enthalpy_0k_ev_per_atom": -0.37, "crystal_system": "monoclinic", "cell": [[0.469, 0.644, -4.786], [3.965, -7.039, 1.890], [-8.074, 0.749, 1.759]], "species": ["Ru", "Ru", "Ru", "Ru", "Ru", "Ru", "Ce", "Dy", "Dy", "Dy", "Dy", "Dy"], "frac_coords": [[0.242, 0.081, 0.404], [0.758, 0.596, 0.919], [0.740, 0.238, 0.238], [0.260, 0.762, 0.762], [0.242, 0.404, 0.081], [0.758, 0.919, 0.596], [0.000, 0.000, 0.000], [0.500, 0.172, 0.828], [0.000, 0.335, 0.665], [0.500, 0.500, 0.500], [0.000, 0.665, 0.335], [0.500, 0.828, 0.172]]}



Entry 9:
{"formula": "CeDy2Ru2", "functional": "PBE", "state": "optimized geometry", "magnetic_moment_mub_per_cell": 0.00, "formation_enthalpy_0k_ev_per_atom": -0.31, "relative_energy_ev_per_atom": 0.117, "crystal_system": "monoclinic", "cell": [[5.290, 0.000, 0.000], [-2.645, 5.780, -0.197], [0.000, -3.347, 8.092]], "species": ["Ce", "Ce", "Dy", "Dy", "Dy", "Dy", "Ru", "Ru", "Ru", "Ru"], "frac_coords": [[0.314, 0.627, 0.894], [0.686, 0.373, 0.106], [0.650, 0.301, 0.511], [0.350, 0.699, 0.489], [0.982, 0.963, 0.770], [0.018, 0.037, 0.230], [0.143, 0.287, 0.606], [0.857, 0.713, 0.394], [0.399, 0.798, 0.183], [0.601, 0.202, 0.817]]}



Entry 10:
{"formula": "CeDy2Ru3", "functional": "PBE", "state": "optimized geometry", "magnetic_moment_mub_per_cell": 0.00, "formation_enthalpy_0k_ev_per_atom": -0.38, "relative_energy_ev_per_atom": 0.000, "crystal_system": "orthorhombic", "cell": [[-3.064, 3.076, 2.153], [-7.049, -1.471, -2.467], [-0.867, -4.451, 5.128]], "species": ["Ce", "Ce", "Dy", "Dy", "Dy", "Dy", "Ru", "Ru", "Ru", "Ru", "Ru", "Ru"], "frac_coords": [[0.335, 0.330, 0.000], [0.665, 0.670, 0.000], [0.000, 0.000, 0.000], [0.000, 0.000, 0.500], [0.334, 0.331, 0.500], [0.666, 0.669, 0.500], [0.830, 0.340, 0.763], [0.500, 0.000, 0.241], [0.170, 0.660, 0.237], [0.830, 0.340, 0.237], [0.170, 0.660, 0.763], [0.500, 0.000, 0.759]]}



Entry 11:
{"formula": "CeDy2Ru", "functional": "PBE", "state": "optimized geometry", "magnetic_moment_mub_per_cell": 0.48, "formation_enthalpy_0k_ev_per_atom": -0.28, "relative_energy_ev_per_atom": 0.039, "crystal_system": "monoclinic", "cell": [[3.779, -0.141, 0.000], [-1.667, 6.043, 0.000], [0.000, 0.000, 9.498]], "species": ["Ce", "Ce", "Dy", "Dy", "Dy", "Dy", "Ru", "Ru"], "frac_coords": [[0.417, 0.835, 0.250], [0.583, 0.165, 0.750], [0.142, 0.285, 0.431], [0.858, 0.715, 0.569], [0.858, 0.715, 0.931], [0.142, 0.285, 0.069], [0.769, 0.539, 0.250], [0.231, 0.461, 0.750]]}



Entry 12:
{"formula": "Ce3Dy2Ru4", "functional": "PBE", "state": "optimized geometry", "magnetic_moment_mub_per_cell": 0.00, "formation_enthalpy_0k_ev_per_atom": -0.35, "crystal_system": "monoclinic", "cell": [[4.255, 0.000, 0.000], [-2.128, 5.648, -0.477], [0.000, -1.884, 8.778]], "species": ["Ce", "Ce", "Ce", "Dy", "Dy", "Ru", "Ru", "Ru", "Ru"], "frac_coords": [[0.380, 0.760, 0.587], [0.000, 0.000, 0.000], [0.620, 0.240, 0.413], [0.317, 0.634, 0.177], [0.683, 0.366, 0.823], [0.622, 0.245, 0.122], [0.120, 0.240, 0.598], [0.880, 0.760, 0.402], [0.378, 0.755, 0.878]]}